First-principles (PBE) data for Pr2Ga3Pd4Au after structural relaxation, as listed in Alexandria via LeMat-Bulk.

As for the crystal system: tetragonal. As for the calculated total energy: -0.184 Ha/atom. For the formation energy, the calculation gives -0.7435 eV/atom.

The space group is P-4m2 (No. 115) and the conventional cell measures 4.124, 4.124 and 11.685 Å, with angles of 90.00, 90.00 and 90.00 degrees. The asymmetric unit holds Pr at (0.000, 0.500, 0.241), Ga at (0.000, 0.000, 0.000), Ga at (0.000, 0.500, 0.627), Pd at (0.000, 0.000, 0.500), Pd at (0.000, 0.500, 0.842), Pd at (0.500, 0.500, 0.500) and Au at (0.500, 0.500, 0.000).